VASP calculation (GGA-PBE) on an optimized crystal structure of SmMoW.

As for the energy above the lowest structure with this stoichiometry: 1131 meV per atom. The total magnetic moment comes out at 0.0 μB per formula unit. The calculation puts the total energy at -7.44 eV/atom. Its energy of formation is 599 kJ/mol of formula units.

The space group is F-43m (No. 216) and the conventional cell measures 6.4993, 6.4993 and 6.4993 Å, with angles of 90.00, 90.00 and 90.00 degrees. The asymmetric unit holds Sm at (0.0000, 0.0000, 0.0000), Mo at (0.2500, 0.2500, 0.7500) and W at (0.2500, 0.2500, 0.2500).